Record 1
{
  "formula": "SrScBe2",
  "functional": "PBE",
  "state": "relaxed",
  "sg": "Imm2, No. 44",
  "polymorph_energy_mev_per_atom": 226,
  "e_form_mev_per_atom": 426,
  "cell": [[-1.625, 2.451, 4.905], [1.625, -2.451, 4.905], [1.625, 2.451, -4.905]],
  "species": ["Sr", "Sc", "Be", "Be"],
  "frac_coords": [[0.000, 0.000, 0.000], [0.691, 0.191, 0.500], [0.278, 0.778, 0.500], [0.428, 0.428, 0.000]]
}

Record 2
{
  "formula": "KSiHg2Rh",
  "functional": "PBE",
  "state": "relaxed",
  "sg": "P4/mmm, No. 123",
  "raw_formation_energy_ev_per_atom": 0.790,
  "cell": [[5.255, 0.000, 0.000], [0.000, 5.255, 0.000], [0.000, 0.000, 5.669]],
  "species": ["K", "Si", "Hg", "Hg", "Rh"],
  "frac_coords": [[0.000, 0.000, 0.000], [0.500, 0.500, 0.000], [0.000, 0.500, 0.500], [0.500, 0.000, 0.500], [0.000, 0.000, 0.500]]
}

Record 3
{
  "formula": "CaSc2Se",
  "functional": "PBE",
  "state": "relaxed",
  "sg": "P4/mmm, No. 123",
  "raw_formation_energy_ev_per_atom": -0.225,
  "cell": [[4.895, 0.000, 0.000], [0.000, 4.895, 0.000], [0.000, 0.000, 3.895]],
  "species": ["Ca", "Sc", "Sc", "Se"],
  "frac_coords": [[0.000, 0.000, 0.000], [0.000, 0.500, 0.500], [0.500, 0.000, 0.500], [0.500, 0.500, 0.000]]
}

Record 4
{
  "formula": "NiAg3Au12",
  "functional": "PBE",
  "state": "relaxed",
  "sg": "P4/mmm, No. 123",
  "e_form_mev_per_atom": -1,
  "cell": [[4.103, 0.000, 0.000], [0.000, 4.103, 0.000], [0.000, 0.000, 16.780]],
  "species": ["Ni", "Ag", "Ag", "Ag", "Au", "Au", "Au", "Au", "Au", "Au", "Au", "Au", "Au", "Au", "Au", "Au"],
  "frac_coords": [[0.000, 0.000, 0.000], [0.000, 0.000, 0.245], [0.000, 0.000, 0.500], [0.000, 0.000, 0.755], [0.000, 0.500, 0.117], [0.000, 0.500, 0.372], [0.000, 0.500, 0.628], [0.000, 0.500, 0.883], [0.500, 0.000, 0.117], [0.500, 0.000, 0.372], [0.500, 0.000, 0.628], [0.500, 0.000, 0.883], [0.500, 0.500, 0.000], [0.500, 0.500, 0.244], [0.500, 0.500, 0.500], [0.500, 0.500, 0.756]]
}

Record 5
{
  "formula": "RbAlTl2B",
  "functional": "PBE",
  "state": "relaxed",
  "sg": "P4/mmm, No. 123",
  "e_form_mev_per_atom": 2011,
  "cell": [[6.462, 0.000, 0.000], [0.000, 6.462, 0.000], [0.000, 0.000, 6.184]],
  "species": ["Rb", "Al", "Tl", "Tl", "B"],
  "frac_coords": [[0.000, 0.000, 0.000], [0.000, 0.000, 0.500], [0.000, 0.500, 0.000], [0.500, 0.000, 0.000], [0.500, 0.500, 0.500]]
}

Record 6
{
  "formula": "NiTeCl2",
  "functional": "PBE",
  "state": "relaxed",
  "sg": "Cmmm, No. 65",
  "polymorph_energy_mev_per_atom": 945,
  "raw_formation_energy_ev_per_atom": 0.546,
  "cell": [[3.092, -4.194, 0.000], [3.092, 4.194, 0.000], [0.000, 0.000, 3.196]],
  "species": ["Ni", "Te", "Cl", "Cl"],
  "frac_coords": [[0.000, 0.000, 0.000], [0.500, 0.500, 0.000], [0.000, 0.500, 0.500], [0.500, 0.000, 0.500]]
}

Record 7
{
  "formula": "Ac8Sn4Te3",
  "functional": "PBE",
  "state": "relaxed",
  "sg": "C2/m, No. 12",
  "raw_formation_energy_ev_per_atom": -0.955,
  "cell": [[6.747, -6.766, 0.000], [6.747, 6.766, 0.000], [-6.638, 0.000, 6.770]],
  "species": ["Ac", "Ac", "Ac", "Ac", "Ac", "Ac", "Ac", "Ac", "Sn", "Sn", "Sn", "Sn", "Te", "Te", "Te"],
  "frac_coords": [[0.244, 0.756, 0.000], [0.247, 0.247, 0.483], [0.250, 0.250, 0.006], [0.253, 0.747, 0.500], [0.747, 0.253, 0.500], [0.750, 0.750, 0.994], [0.753, 0.753, 0.517], [0.756, 0.244, 0.000], [0.000, 0.000, 0.000], [0.000, 0.500, 0.000], [0.500, 0.000, 0.000], [0.500, 0.500, 0.500], [0.000, 0.000, 0.500], [0.000, 0.500, 0.500], [0.500, 0.000, 0.500]]
}

Record 8
{
  "formula": "Tb3ErNi",
  "functional": "PBE",
  "state": "relaxed",
  "sg": "Cm, No. 8",
  "polymorph_energy_mev_per_atom": 0,
  "e_form_mev_per_atom": -172,
  "cell": [[6.031, -1.807, 0.000], [6.031, 1.807, 0.000], [-5.937, 0.000, 12.461]],
  "species": ["Tb", "Tb", "Tb", "Tb", "Tb", "Tb", "Er", "Er", "Ni", "Ni"],
  "frac_coords": [[0.000, 0.000, 0.000], [0.045, 0.045, 0.597], [0.215, 0.215, 0.875], [0.351, 0.351, 0.357], [0.425, 0.425, 0.756], [0.779, 0.779, 0.117], [0.564, 0.564, 0.242], [0.731, 0.731, 0.515], [0.052, 0.052, 0.389], [0.728, 0.728, 0.724]]
}

Record 9
{
  "formula": "Nd6TlIn3",
  "functional": "PBE",
  "state": "relaxed",
  "sg": "P2_1/m, No. 11",
  "polymorph_energy_mev_per_atom": 0,
  "e_form_mev_per_atom": -362,
  "cell": [[9.830, 0.000, 0.000], [0.000, 5.408, 0.000], [-3.290, 0.000, 11.428]],
  "species": ["Nd", "Nd", "Nd", "Nd", "Nd", "Nd", "Nd", "Nd", "Nd", "Nd", "Nd", "Nd", "Tl", "Tl", "In", "In", "In", "In", "In", "In"],
  "frac_coords": [[0.045, 0.250, 0.412], [0.159, 0.750, 0.179], [0.252, 0.250, 0.996], [0.333, 0.750, 0.802], [0.378, 0.250, 0.343], [0.401, 0.250, 0.619], [0.599, 0.750, 0.381], [0.622, 0.750, 0.657], [0.667, 0.250, 0.198], [0.748, 0.750, 0.004], [0.841, 0.250, 0.821], [0.955, 0.750, 0.588], [0.454, 0.750, 0.104], [0.546, 0.250, 0.896], [0.031, 0.750, 0.883], [0.117, 0.250, 0.712], [0.274, 0.750, 0.473], [0.726, 0.250, 0.527], [0.883, 0.750, 0.288], [0.969, 0.250, 0.117]]
}

Record 10
{
  "formula": "CaY2Rh",
  "functional": "PBE",
  "state": "relaxed",
  "sg": "C2/m, No. 12",
  "polymorph_energy_mev_per_atom": 464,
  "e_form_mev_per_atom": 78,
  "cell": [[3.212, -5.153, 0.000], [3.212, 5.153, 0.000], [-1.353, 0.000, 3.092]],
  "species": ["Ca", "Y", "Y", "Rh"],
  "frac_coords": [[0.000, 0.000, 0.000], [0.000, 0.500, 0.500], [0.500, 0.000, 0.500], [0.500, 0.500, 0.000]]
}